VASP calculation (PBE) on an optimized crystal structure of Er2AlCd.

a b c (Å): 3.6036 3.6036 7.4418
angles (deg): 90.00 90.00 90.00
With the nearest neighbours (Å) after each atom.
Space group P4/mmm (No. 123)
Asymmetric unit:
Er1 0.0000 0.0000 0.2384  4 Al 3.11, 4 Cd 3.21
Al1 0.5000 0.5000 0.0000  8 Er 3.11
Cd1 0.5000 0.5000 0.5000  8 Er 3.21

- ΔH_f (0 K) (meV per atom) = -363
- crystal system = tetragonal

VASP calculation (PBE) on an optimized crystal structure of La2Mg15Sc2.

a b c (Å): 10.4334 10.4334 15.2681
angles (deg): 90.00 90.00 120.00
With the nearest neighbours (Å) after each atom.
Space group R-3m (No. 166, hexagonal axes)
Asymmetric unit:
La1 0.0000 0.0000 0.1693  1 Sc 3.54, 15 Mg 3.72-3.92
Mg1 0.0000 0.2912 0.5000  8 Mg 2.99-3.25
Mg2 0.0000 0.5000 0.0000  8 Mg 2.99-3.05, 2 Sc 3.19
Mg3 0.0046 0.5023 0.6474  8 Mg 3.03-3.25, 1 Sc 3.33
Sc1 0.0000 0.0000 0.4012  1 Sc 3.02, 6 Mg 3.19-3.33

- ΔH_f (0 K) (meV per atom) = -36
- crystal system = trigonal

VASP calculation (PBE) on an optimized crystal structure of K2ZrAuO4.

a b c (Å): 6.3831 6.3831 7.1073
angles (deg): 90.00 90.00 90.00
With the nearest neighbours (Å) after each atom.
Space group I-4 (No. 82)
Asymmetric unit:
K1 0.0000 0.0000 0.0000  4 O 2.65
K2 0.0000 0.5000 0.2500  4 O 2.84
Zr1 0.0000 0.5000 0.7500  4 O 2.01
Au1 0.0000 0.0000 0.5000  4 O 2.20
O1 0.1481 0.7020 0.5796  1 Zr 2.01, 1 Au 2.20

- crystal system = tetragonal
- raw formation energy (kJ/mol of formula units) = -1302

VASP calculation (PBE) on an optimized crystal structure of CeTm2Ir.

a b c (Å): 3.6659 3.6659 31.3491
angles (deg): 90.00 90.00 120.00
With the nearest neighbours (Å) after each atom.
Space group R-3m (No. 166, hexagonal axes)
Asymmetric unit:
Ce1 0.0000 0.0000 0.0000  2 Tm 3.54, 6 Ce 3.67
Tm1 0.0000 0.0000 0.1128  3 Ir 2.71
Ir1 0.0000 0.0000 0.5000  6 Tm 2.71

- energy above the most stable polymorph in this dataset (eV/f.u.) = 1.72
- ΔH_f (0 K) (meV per atom) = -117
- crystal system = trigonal

VASP calculation (PBE) on an optimized crystal structure of PrSmY2.

a b c (Å): 3.6831 11.6094 6.3581
angles (deg): 90.00 90.00 90.00
With the nearest neighbours (Å) after each atom.
Space group Imm2 (No. 44)
Asymmetric unit:
Pr1 0.0000 0.0000 0.0000  6 Y 3.59-3.60, 4 Sm 3.66-3.69, 2 Pr 3.68
Sm1 0.0000 0.5000 0.9974  6 Y 3.59-3.60, 4 Pr 3.66-3.69, 2 Sm 3.68
Y1 0.0000 0.2489 0.6654  3 Pr 3.59-3.60, 3 Sm 3.59-3.60, 6 Y 3.67-3.68

- energy above the most stable polymorph in this dataset (eV/f.u.) = 0.04
- ΔH_f (0 K) (meV per atom) = 27
- crystal system = orthorhombic

VASP calculation (PBE) on an optimized crystal structure of K2CoSe.

a b c (Å): 4.5806 4.5806 27.4489
angles (deg): 90.00 90.00 120.00
With the nearest neighbours (Å) after each atom.
Space group R-3m (No. 166, hexagonal axes)
Asymmetric unit:
K1 0.0000 0.0000 0.2335  3 Se 3.22
Co1 0.0000 0.0000 0.0000  6 K 3.81
Se1 0.0000 0.0000 0.5000  6 K 3.22

- crystal system = trigonal
- raw formation energy (kJ/mol of formula units) = 155

no.,mass density (Mg/m³)
1,8.143
2,2.534
3,4.936
4,9.151
5,5.730
6,2.158